Material: FePb2Br
Method: DFT, PBE-GGA
State: relaxed

Cell lengths 6.5426, 3.7770, 8.7613 Å; angles 90.00, 104.34, 90.00 degrees
Fractional coordinates of all 8 atoms:
1 Fe 0.0000 0.0000 0.0000
2 Fe 0.5000 0.5000 0.0000
3 Pb 0.2361 0.5000 0.2092
4 Pb 0.2639 0.0000 0.7908
5 Pb 0.7361 0.0000 0.2092
6 Pb 0.7639 0.5000 0.7908
7 Br 0.0000 0.5000 0.5000
8 Br 0.5000 0.0000 0.5000

Output
Polymorph energy (0 for the lowest one) in meV per atom: 109
Crystal system: monoclinic
ΔE_f (raw) in eV per atom: 0.20

Material: Pm5NpSb6
Method: DFT, PBE-GGA
State: relaxed

Cell lengths 7.7554, 7.7554, 7.7577 Å; angles 99.59, 99.59, 120.02 degrees
Fractional coordinates of all 12 atoms:
1 Pm 0.0000 0.0000 0.0000
2 Pm 0.1660 0.8340 0.5000
3 Pm 0.3316 0.6684 0.0000
4 Pm 0.6684 0.3316 0.0000
5 Pm 0.8340 0.1660 0.5000
6 Np 0.5000 0.5000 0.5000
7 Sb 0.0889 0.4178 0.2528
8 Sb 0.2542 0.2542 0.7478
9 Sb 0.4178 0.0889 0.2528
10 Sb 0.5822 0.9111 0.7472
11 Sb 0.7458 0.7458 0.2522
12 Sb 0.9111 0.5822 0.7472

Output
Crystal system: monoclinic
ΔE_f (raw) in eV per atom: -1.02

Material: Mg3Os
Method: DFT, PBE-GGA
State: relaxed

Cell lengths 4.6003, 4.6003, 8.2588 Å; angles 90.00, 90.00, 120.00 degrees
Fractional coordinates of all 8 atoms:
1 Mg 0.0000 0.0000 0.2500
2 Mg 0.0000 0.0000 0.7500
3 Mg 0.3333 0.6667 0.0791
4 Mg 0.3333 0.6667 0.4209
5 Mg 0.6667 0.3333 0.5791
6 Mg 0.6667 0.3333 0.9209
7 Os 0.3333 0.6667 0.7500
8 Os 0.6667 0.3333 0.2500

Output
Crystal system: hexagonal
Energy of formation in eV/atom: 0.1597

Material: PuMg2Ge
Method: DFT, PBE-GGA
State: relaxed

Cell lengths 3.1251, 3.1251, 32.5945 Å; angles 90.00, 90.00, 120.00 degrees
Fractional coordinates of all 12 atoms:
1 Pu 0.0000 0.0000 0.0000
2 Pu 0.3333 0.6667 0.6667
3 Pu 0.6667 0.3333 0.3333
4 Mg 0.0000 0.0000 0.0971
5 Mg 0.0000 0.0000 0.9029
6 Mg 0.3333 0.6667 0.5695
7 Mg 0.3333 0.6667 0.7638
8 Mg 0.6667 0.3333 0.2362
9 Mg 0.6667 0.3333 0.4305
10 Ge 0.0000 0.0000 0.5000
11 Ge 0.3333 0.6667 0.1667
12 Ge 0.6667 0.3333 0.8333

Output
Crystal system: trigonal
Energy of formation in eV/atom: 0.1910

Material: Ca3Tl4Hg2
Method: DFT, PBE-GGA
State: relaxed

Cell lengths 6.3508, 6.3508, 9.6634 Å; angles 114.79, 114.79, 47.57 degrees
Fractional coordinates of all 9 atoms:
1 Ca 0.0000 0.0000 0.0000
2 Ca 0.3320 0.3320 0.3412
3 Ca 0.6680 0.6680 0.6588
4 Tl 0.0565 0.0565 0.3865
5 Tl 0.2439 0.2439 0.9113
6 Tl 0.7561 0.7561 0.0887
7 Tl 0.9435 0.9435 0.6135
8 Hg 0.3929 0.3929 0.7295
9 Hg 0.6071 0.6071 0.2705

Output
Crystal system: monoclinic
Energy of formation in eV/atom: -0.3256

Material: AlAg2Os
Method: DFT, PBE-GGA
State: relaxed

Cell lengths 3.7150, 3.7150, 20.0297 Å; angles 90.00, 90.00, 90.00 degrees
Fractional coordinates of all 16 atoms:
1 Al 0.0000 0.0000 0.0000
2 Al 0.0000 0.5000 0.2500
3 Al 0.5000 0.0000 0.7500
4 Al 0.5000 0.5000 0.5000
5 Ag 0.2493 0.2500 0.6250
6 Ag 0.2500 0.7493 0.8750
7 Ag 0.2500 0.7507 0.3750
8 Ag 0.2507 0.2500 0.1250
9 Ag 0.7493 0.7500 0.1250
10 Ag 0.7500 0.2493 0.3750
11 Ag 0.7500 0.2507 0.8750
12 Ag 0.7507 0.7500 0.6250
13 Os 0.0000 0.0000 0.5000
14 Os 0.0000 0.5000 0.7500
15 Os 0.5000 0.0000 0.2500
16 Os 0.5000 0.5000 0.0000

Output
Crystal system: tetragonal
Energy of formation in eV/atom: 0.5508

Material: Sr4Ca5
Method: DFT, PBE-GGA
State: relaxed

Cell lengths 9.0672, 9.0672, 9.0672 Å; angles 95.82, 95.82, 142.87 degrees
Fractional coordinates of all 9 atoms:
1 Sr 0.0000 0.3256 0.3256
2 Sr 0.0000 0.6744 0.6744
3 Sr 0.3256 0.0000 0.3256
4 Sr 0.6744 0.0000 0.6744
5 Ca 0.0000 0.0000 0.0000
6 Ca 0.3364 0.3364 0.6727
7 Ca 0.3364 0.6636 0.0000
8 Ca 0.6636 0.3364 0.0000
9 Ca 0.6636 0.6636 0.3273

Output
Polymorph energy (0 for the lowest one) in meV per atom: 0
Crystal system: tetragonal
Energy of formation in eV/atom: 0.0150

Material: Ru3Se
Method: DFT, PBE-GGA
State: relaxed

Cell lengths 3.8752, 3.8752, 3.8752 Å; angles 90.00, 90.00, 90.00 degrees
Fractional coordinates of all 4 atoms:
1 Ru 0.0000 0.0000 0.5000
2 Ru 0.0000 0.5000 0.0000
3 Ru 0.5000 0.0000 0.0000
4 Se 0.5000 0.5000 0.5000

Output
Crystal system: cubic
ΔE_f (raw) in eV per atom: 0.52

| no. | magnetization (μB per cell) |
| --- | --- |
| 1 | 4.772 |
| 2 | 3.773 |
| 3 | 0.000 |
| 4 | 17.593 |
| 5 | 0.000 |
| 6 | 2.003 |
| 7 | 0.001 |
| 8 | 0.000 |